Entry 1:
Se2IO2, relaxed, DFT GGA-PBEsol; calculated density = 5.76 g cm⁻³; crystal system = tetragonal; SG = I4/mmm; raw total energy = -3.840 eV/atom
1.0
-2.046 2.046 5.452
2.046 -2.046 5.452
2.046 2.046 -5.452
Se I O
2 1 2
Direct
0.191 0.191 0.000 Se
0.809 0.809 0.000 Se
0.500 0.500 0.000 I
0.250 0.750 0.500 O
0.750 0.250 0.500 O



Entry 2:
SrSeI2O, relaxed, DFT GGA-PBEsol; calculated density = 5.25 g cm⁻³; crystal system = tetragonal; SG = P4/mmm; raw total energy = -3.561 eV/atom
1.0
5.913 0.000 0.000
0.000 5.913 0.000
0.000 0.000 3.946
Sr Se I O
1 1 2 1
Direct
0.000 0.000 0.000 Sr
0.500 0.500 0.500 Se
0.000 0.500 0.500 I
0.500 0.000 0.500 I
0.500 0.500 0.000 O



Entry 3:
TaSeIO2, relaxed, DFT GGA-PBEsol; calculated density = 7.89 g cm⁻³; crystal system = tetragonal; SG = P4/mmm; raw total energy = -4.994 eV/atom
1.0
3.946 0.000 0.000
0.000 3.946 0.000
0.000 0.000 5.658
Ta Se I O
1 1 1 2
Direct
0.000 0.000 0.000 Ta
0.500 0.500 0.500 Se
0.500 0.500 0.000 I
0.000 0.500 0.500 O
0.500 0.000 0.500 O



Entry 4:
WSeI2O, relaxed, DFT GGA-PBEsol; calculated density = 7.53 g cm⁻³; crystal system = tetragonal; SG = P4/mmm; raw total energy = -4.158 eV/atom
1.0
5.649 0.000 0.000
0.000 5.649 0.000
0.000 0.000 3.683
W Se I O
1 1 2 1
Direct
0.000 0.000 0.000 W
0.500 0.500 0.500 Se
0.000 0.500 0.500 I
0.500 0.000 0.500 I
0.500 0.500 0.000 O